1.
{
  "formula": "Pr8CdSn5",
  "functional": "GGA-PBE",
  "state": "relaxed",
  "delta_e_f_ev_per_fu": -8.8,
  "spacegroup": "I-4 (82)",
  "n_ef_per_ev_atom": 0.8495,
  "energy_ev_per_atom": -4.858,
  "magmom_total_mub_per_cell": 0.0,
  "lattice_angstrom": [[-4.825, 4.825, 4.853], [4.825, -4.825, 4.853], [4.825, 4.825, -4.853]],
  "species": ["Pr", "Pr", "Pr", "Pr", "Pr", "Pr", "Pr", "Pr", "Cd", "Sn", "Sn", "Sn", "Sn", "Sn"],
  "frac_coords": [[0.017, 0.623, 0.744], [0.235, 0.493, 0.107], [0.377, 0.121, 0.394], [0.386, 0.127, 0.893], [0.507, 0.614, 0.741], [0.727, 0.983, 0.606], [0.873, 0.765, 0.259], [0.879, 0.273, 0.256], [0.000, 0.000, 0.000], [0.123, 0.244, 0.626], [0.250, 0.750, 0.500], [0.503, 0.877, 0.122], [0.619, 0.497, 0.374], [0.756, 0.381, 0.878]]
}



2.
{
  "formula": "Ac2PrNdPt2",
  "functional": "GGA-PBE",
  "state": "relaxed",
  "delta_e_f_ev_per_fu": -4.5,
  "spacegroup": "Ibam (72)",
  "n_ef_per_ev_atom": 0.9472,
  "energy_ev_per_atom": -5.728,
  "magmom_total_mub_per_cell": 0.0,
  "lattice_angstrom": [[-3.613, 7.338, 3.603], [3.613, -7.338, 3.603], [3.613, 7.338, -3.603]],
  "species": ["Ac", "Ac", "Ac", "Ac", "Pr", "Pr", "Nd", "Nd", "Pt", "Pt", "Pt", "Pt"],
  "frac_coords": [[0.194, 0.208, 0.402], [0.306, 0.708, 0.014], [0.694, 0.292, 0.986], [0.806, 0.792, 0.598], [0.250, 0.750, 0.500], [0.750, 0.250, 0.500], [0.250, 0.250, 0.000], [0.750, 0.750, 0.000], [0.105, 0.763, 0.868], [0.395, 0.263, 0.658], [0.605, 0.737, 0.342], [0.895, 0.237, 0.132]]
}